Entry 1:
# TiO2F2 (PBE, relaxed)
# **Uncorrected formation energy**: -1.8984 eV/atom
data_TiO2F2
_chemical_formula_sum 'Ti1 O2 F2'
_space_group_name_H-M_alt 'P 4/m m m'
_space_group_IT_number 123
_space_group_name_Hall '-P 4 2'
_cell_length_a 3.952
_cell_length_b 3.952
_cell_length_c 3.760
_cell_angle_alpha 90.00
_cell_angle_beta 90.00
_cell_angle_gamma 90.00
loop_
_atom_site_label
_atom_site_fract_x
_atom_site_fract_y
_atom_site_fract_z
_atom_site_occupancy
Ti1 0.000 0.000 0.000 1
O1 0.000 0.000 0.500 1
O2 0.500 0.500 0.500 1
F1 0.000 0.500 0.000 1


Entry 2:
# Ce2GaSi3Rh4 (PBE, relaxed)
# **Uncorrected formation energy**: -0.9908 eV/atom
data_Ce2GaSi3Rh4
_chemical_formula_sum 'Ce2 Ga1 Si3 Rh4'
_space_group_name_H-M_alt 'P -4 m 2'
_space_group_IT_number 115
_space_group_name_Hall 'P -4 -2'
_cell_length_a 4.151
_cell_length_b 4.151
_cell_length_c 10.064
_cell_angle_alpha 90.00
_cell_angle_beta 90.00
_cell_angle_gamma 90.00
loop_
_atom_site_label
_atom_site_fract_x
_atom_site_fract_y
_atom_site_fract_z
_atom_site_occupancy
Ce1 0.000 0.500 0.245 1
Ga1 0.500 0.500 0.000 1
Si1 0.000 0.000 0.000 1
Si2 0.000 0.500 0.626 1
Rh1 0.000 0.000 0.500 1
Rh2 0.000 0.500 0.863 1
Rh3 0.500 0.500 0.500 1


Entry 3:
# La8Ag2Os (PBE, relaxed)
# **Relative energy among the computed polymorphs**: 11 meV per atom
data_La8Ag2Os
_chemical_formula_sum 'La16 Ag4 Os2'
_space_group_name_H-M_alt 'C 1 2/m 1'
_space_group_IT_number 12
_space_group_name_Hall '-C 2y'
_cell_length_a 18.487
_cell_length_b 5.453
_cell_length_c 7.138
_cell_angle_alpha 90.00
_cell_angle_beta 108.66
_cell_angle_gamma 90.00
loop_
_atom_site_label
_atom_site_fract_x
_atom_site_fract_y
_atom_site_fract_z
_atom_site_occupancy
La1 0.019 0.000 0.300 1
La2 0.088 0.500 0.936 1
La3 0.157 0.500 0.487 1
La4 0.206 0.000 0.815 1
Ag1 0.174 0.000 0.218 1
Os1 0.000 0.500 0.500 1


Entry 4:
# Tb2Si6Pt21 (PBE, relaxed)
# **Uncorrected formation energy**: -0.6740 eV/atom
data_Tb2Si6Pt21
_chemical_formula_sum 'Tb8 Si24 Pt84'
_space_group_name_H-M_alt 'F m -3 m'
_space_group_IT_number 225
_space_group_name_Hall '-F 4 2 3'
_cell_length_a 12.318
_cell_length_b 12.318
_cell_length_c 12.318
_cell_angle_alpha 90.00
_cell_angle_beta 90.00
_cell_angle_gamma 90.00
loop_
_atom_site_label
_atom_site_fract_x
_atom_site_fract_y
_atom_site_fract_z
_atom_site_occupancy
Tb1 0.250 0.250 0.250 1
Si1 0.000 0.000 0.234 1
Pt1 0.000 0.000 0.500 1
Pt2 0.000 0.173 0.327 1
Pt3 0.116 0.116 0.116 1


Entry 5:
# Sr2ScO (PBE, relaxed)
# **Uncorrected formation energy**: -0.8604 eV/atom
data_Sr2ScO
_chemical_formula_sum 'Sr8 Sc4 O4'
_space_group_name_H-M_alt 'I -4 2 d'
_space_group_IT_number 122
_space_group_name_Hall 'I -4 2bw'
_cell_length_a 7.486
_cell_length_b 7.486
_cell_length_c 9.971
_cell_angle_alpha 90.00
_cell_angle_beta 90.00
_cell_angle_gamma 90.00
loop_
_atom_site_label
_atom_site_fract_x
_atom_site_fract_y
_atom_site_fract_z
_atom_site_occupancy
Sr1 0.095 0.750 0.125 1
Sc1 0.000 0.000 0.500 1
O1 0.000 0.000 0.000 1


Entry 6:
# K2ZrCl (PBE, relaxed)
# **Relative energy among the computed polymorphs**: 234 meV per atom
# **Uncorrected formation energy**: -0.0480 eV/atom
data_K2ZrCl
_chemical_formula_sum 'K2 Zr1 Cl1'
_space_group_name_H-M_alt 'P 1 m 1'
_space_group_IT_number 6
_space_group_name_Hall 'P -2y'
_cell_length_a 3.548
_cell_length_b 5.011
_cell_length_c 9.851
_cell_angle_alpha 90.00
_cell_angle_beta 100.13
_cell_angle_gamma 90.00
loop_
_atom_site_label
_atom_site_fract_x
_atom_site_fract_y
_atom_site_fract_z
_atom_site_occupancy
K1 0.000 0.000 0.000 1
K2 0.305 0.500 0.625 1
Zr1 0.631 0.500 0.267 1
Cl1 0.635 0.000 0.275 1


Entry 7:
# LaY2Os (PBE, relaxed)
# **Relative energy among the computed polymorphs**: 421 meV per atom
data_LaY2Os
_chemical_formula_sum 'La1 Y2 Os1'
_space_group_name_H-M_alt 'P 4/m m m'
_space_group_IT_number 123
_space_group_name_Hall '-P 4 2'
_cell_length_a 4.493
_cell_length_b 4.493
_cell_length_c 5.037
_cell_angle_alpha 90.00
_cell_angle_beta 90.00
_cell_angle_gamma 90.00
loop_
_atom_site_label
_atom_site_fract_x
_atom_site_fract_y
_atom_site_fract_z
_atom_site_occupancy
La1 0.000 0.000 0.000 1
Y1 0.000 0.500 0.500 1
Os1 0.500 0.500 0.000 1


Entry 8:
# B7C3 (PBE, relaxed)
# **Relative energy among the computed polymorphs**: 213 meV per atom
data_B7C3
_chemical_formula_sum 'B14 C6'
_space_group_name_H-M_alt 'C 1 m 1'
_space_group_IT_number 8
_space_group_name_Hall 'C -2y'
_cell_length_a 13.749
_cell_length_b 2.676
_cell_length_c 3.760
_cell_angle_alpha 90.00
_cell_angle_beta 96.04
_cell_angle_gamma 90.00
loop_
_atom_site_label
_atom_site_fract_x
_atom_site_fract_y
_atom_site_fract_z
_atom_site_occupancy
B1 0.000 0.000 0.000 1
B2 0.007 0.500 0.656 1
B3 0.075 0.000 0.403 1
B4 0.136 0.500 0.619 1
B5 0.179 0.500 0.072 1
B6 0.204 0.000 0.380 1
B7 0.321 0.500 0.833 1
C1 0.308 0.000 0.621 1
C2 0.396 0.500 0.176 1
C3 0.399 0.000 0.397 1